No. 1
Entry from Alexandria: crystalline NiOsPb2 at its relaxed geometry (PBE).

## Properties
Energy relative to the elements = 0.66 eV per atom
Final energy = -5.444 eV per atom
DOS at the Fermi energy = 9.58 states/eV/cell

Cell: 3.1052 3.1052 31.6731 Å, 90.00 90.00 120.00°
Space group R3m (No. 160, hexagonal axes)
Symmetry-distinct sites (fractional):
Ni  0.0000  0.0000  0.0000 [3 per cell]
Os  0.0000  0.0000  0.2784 [3 per cell]
Pb  0.0000  0.0000  0.5346 [3 per cell]
Pb  0.0000  0.0000  0.7393 [3 per cell]

---

No. 2
Entry from Alexandria: crystalline NiOsPb2 at its relaxed geometry (PBE).

## Properties
Energy relative to the elements = 1.21 eV per atom
Final energy = -4.899 eV per atom
DOS at the Fermi energy = 15.80 states/eV/cell

Cell: 6.093 6.093 11.955 Å, 90.00 90.00 90.00°
Space group I-42d (No. 122)
Symmetry-distinct sites (fractional):
Ni  0.000  0.000  0.000 [4 per cell]
Os  0.000  0.000  0.500 [4 per cell]
Pb  0.241  0.250  0.125 [8 per cell]

---

No. 3
Entry from Alexandria: crystalline NiOsPb2 at its relaxed geometry (PBE).

## Properties
Energy relative to the elements = 0.43 eV per atom
Final energy = -5.673 eV per atom
DOS at the Fermi energy = 1.89 states/eV/cell

Cell: 3.163 3.163 8.636 Å, 90.00 90.00 90.00°
Space group P4mm (No. 99)
Symmetry-distinct sites (fractional):
Ni  0.000  0.000  0.000 [1 per cell]
Os  0.500  0.500  0.137 [1 per cell]
Pb  0.000  0.000  0.375 [1 per cell]
Pb  0.500  0.500  0.785 [1 per cell]

---

No. 4
Entry from Alexandria: crystalline NiOsPb4 at its relaxed geometry (PBE).

## Properties
Energy relative to the elements = 1.44 eV per atom
Final energy = -3.867 eV per atom
DOS at the Fermi energy = 38.71 states/eV/cell

Cell: 8.708 8.708 8.708 Å, 90.00 90.00 90.00°
Space group F-43m (No. 216)
Symmetry-distinct sites (fractional):
Ni  0.000  0.000  0.000 [4 per cell]
Os  0.250  0.250  0.750 [4 per cell]
Pb  0.125  0.125  0.375 [16 per cell]

---

No. 5
Entry from Alexandria: crystalline NiOsPb2 at its relaxed geometry (PBE).

## Properties
Energy relative to the elements = 0.50 eV per atom
Final energy = -5.605 eV per atom
DOS at the Fermi energy = 5.28 states/eV/cell

Cell: 3.993 4.029 10.046 Å, 90.00 90.00 90.00°
Space group Amm2 (No. 38)
Symmetry-distinct sites (fractional):
Ni  0.000  0.000  0.000 [2 per cell]
Os  0.500  0.000  0.867 [2 per cell]
Pb  0.000  0.000  0.281 [2 per cell]
Pb  0.500  0.000  0.576 [2 per cell]

---

No. 6
Entry from Alexandria: crystalline NiOsPb2 at its relaxed geometry (PBE).

## Properties
Energy relative to the elements = 1.03 eV per atom
Final energy = -5.081 eV per atom
DOS at the Fermi energy = 22.43 states/eV/cell

Cell: 6.834 6.834 6.834 Å, 90.00 90.00 90.00°
Space group F-43m (No. 216)
Symmetry-distinct sites (fractional):
Ni  0.000  0.000  0.000 [4 per cell]
Os  0.250  0.250  0.250 [4 per cell]
Pb  0.000  0.000  0.500 [4 per cell]
Pb  0.250  0.250  0.750 [4 per cell]

---

No. 7
Entry from Alexandria: crystalline NiOsPb2 at its relaxed geometry (PBE).

## Properties
Energy relative to the elements = 0.83 eV per atom
Final energy = -5.281 eV per atom
DOS at the Fermi energy = 4.48 states/eV/cell

Cell: 3.976 3.976 9.664 Å, 90.00 90.00 90.00°
Space group I-4m2 (No. 119)
Symmetry-distinct sites (fractional):
Ni  0.000  0.000  0.000 [2 per cell]
Os  0.000  0.500  0.750 [2 per cell]
Pb  0.000  0.000  0.500 [2 per cell]
Pb  0.000  0.500  0.250 [2 per cell]

---

No. 8
Entry from Alexandria: crystalline NiOsPb2 at its relaxed geometry (PBE).

## Properties
Energy relative to the elements = 0.77 eV per atom
Final energy = -5.339 eV per atom
DOS at the Fermi energy = 11.62 states/eV/cell

Cell: 6.725 6.725 6.725 Å, 90.00 90.00 90.00°
Space group Fm-3m (No. 225)
Symmetry-distinct sites (fractional):
Ni  0.000  0.000  0.000 [4 per cell]
Os  0.000  0.000  0.500 [4 per cell]
Pb  0.250  0.250  0.250 [8 per cell]

---

No. 9
Entry from Alexandria: crystalline NiOsPb2 at its relaxed geometry (PBE).

## Properties
Energy relative to the elements = 0.73 eV per atom
Final energy = -5.374 eV per atom
DOS at the Fermi energy = 2.77 states/eV/cell

Cell: 3.366 3.361 6.716 Å, 90.00 94.44 90.00°
Space group P2/m (No. 10)
Symmetry-distinct sites (fractional):
Ni  0.000  0.000  0.000 [1 per cell]
Os  0.000  0.000  0.500 [1 per cell]
Pb  0.474  0.500  0.246 [2 per cell]

---

No. 10
Entry from Alexandria: crystalline NiOsPb3 at its relaxed geometry (PBE).

## Properties
Energy relative to the elements = 1.12 eV per atom
Final energy = -4.506 eV per atom
DOS at the Fermi energy = 7.38 states/eV/cell

Cell: 5.023 5.023 5.023 Å, 90.00 90.00 90.00°
Space group Pm-3m (No. 221)
Symmetry-distinct sites (fractional):
Ni  0.000  0.000  0.000 [1 per cell]
Os  0.500  0.500  0.500 [1 per cell]
Pb  0.000  0.000  0.500 [3 per cell]

---

No. 11
Entry from Alexandria: crystalline NiOsPb3 at its relaxed geometry (PBE).

## Properties
Energy relative to the elements = 0.93 eV per atom
Final energy = -4.698 eV per atom
DOS at the Fermi energy = 1.47 states/eV/cell

Cell: 5.265 5.265 5.265 Å, 90.00 90.00 90.00°
Space group Pm-3m (No. 221)
Symmetry-distinct sites (fractional):
Ni  0.000  0.000  0.000 [1 per cell]
Os  0.500  0.500  0.500 [1 per cell]
Pb  0.000  0.500  0.500 [3 per cell]

---

No. 12
Entry from Alexandria: crystalline Ni4OsPb at its relaxed geometry (PBE).

## Properties
Energy relative to the elements = 0.41 eV per atom
Final energy = -5.932 eV per atom
DOS at the Fermi energy = 33.16 states/eV/cell

Cell: 6.844 6.844 6.844 Å, 90.00 90.00 90.00°
Space group F-43m (No. 216)
Symmetry-distinct sites (fractional):
Ni  0.124  0.124  0.376 [16 per cell]
Os  0.250  0.250  0.750 [4 per cell]
Pb  0.000  0.000  0.000 [4 per cell]